# 1
Crystalline BeTlSbTe2 at its relaxed geometry. Source: Alexandria via LeMat-Bulk, functional PBE-GGA.

a = 5.8048 Å, b = 5.8048 Å, c = 5.7134 Å
α = 90.00°, β = 90.00°, γ = 90.00°
Element x y z (fractional)
1 Be 0.5000 0.5000 0.5000
2 Te 0.0000 0.5000 0.0000
3 Te 0.5000 0.0000 0.0000
4 Sb 0.0000 0.0000 0.5000
5 Tl 0.0000 0.0000 0.0000

Offset from the most stable computed form (meV per atom): 1062
Formation energy without anion corrections (eV/atom): 1.275
Crystal system: tetragonal
Total DFT energy (no corrections) (eV per atom): -2.024
SG: P4/mmm


# 2
Crystalline BeVSb2Te at its relaxed geometry. Source: Alexandria via LeMat-Bulk, functional PBE-GGA.

a = 4.7579 Å, b = 4.7579 Å, c = 5.1881 Å
α = 90.00°, β = 90.00°, γ = 90.00°
Element x y z (fractional)
1 V 0.5000 0.5000 0.5000
2 Sb 0.0000 0.5000 0.0000
3 Sb 0.5000 0.0000 0.0000
4 Be 0.0000 0.0000 0.0000
5 Te 0.0000 0.0000 0.5000

Offset from the most stable computed form (meV per atom): 165
Formation energy without anion corrections (eV/atom): 0.929
Crystal system: tetragonal
Total DFT energy (no corrections) (eV per atom): -3.918
SG: P4/mmm


# 3
Crystalline BeVSb2Te at its relaxed geometry. Source: Alexandria via LeMat-Bulk, functional PBE-GGA.

a = 5.1277 Å, b = 5.1277 Å, c = 5.1202 Å
α = 90.00°, β = 90.00°, γ = 90.00°
Element x y z (fractional)
1 Sb 0.5000 0.0000 0.0000
2 Sb 0.0000 0.5000 0.0000
3 V 0.0000 0.0000 0.0000
4 Te 0.0000 0.0000 0.5000
5 Be 0.5000 0.5000 0.5000

Offset from the most stable computed form (meV per atom): 0
Formation energy without anion corrections (eV/atom): 0.763
Crystal system: tetragonal
Total DFT energy (no corrections) (eV per atom): -4.083
SG: P4/mmm


# 4
Crystalline BeSbTe2W at its relaxed geometry. Source: Alexandria via LeMat-Bulk, functional PBE-GGA.

a = 4.9595 Å, b = 4.9595 Å, c = 4.6704 Å
α = 90.00°, β = 90.00°, γ = 90.00°
Element x y z (fractional)
1 Te 0.0000 0.5000 0.0000
2 Te 0.5000 0.0000 0.0000
3 Be 0.0000 0.0000 0.0000
4 W 0.5000 0.5000 0.5000
5 Sb 0.0000 0.0000 0.5000

Offset from the most stable computed form (meV per atom): 104
Formation energy without anion corrections (eV/atom): 1.196
Crystal system: tetragonal
Total DFT energy (no corrections) (eV per atom): -4.221
SG: P4/mmm


# 5
Crystalline BeSbTe2W at its relaxed geometry. Source: Alexandria via LeMat-Bulk, functional PBE-GGA.

a = 5.2866 Å, b = 5.2866 Å, c = 5.3449 Å
α = 90.00°, β = 90.00°, γ = 90.00°
Element x y z (fractional)
1 Be 0.5000 0.5000 0.5000
2 W 0.0000 0.0000 0.0000
3 Te 0.0000 0.5000 0.0000
4 Te 0.5000 0.0000 0.0000
5 Sb 0.0000 0.0000 0.5000

Offset from the most stable computed form (meV per atom): 0
Formation energy without anion corrections (eV/atom): 1.092
Crystal system: tetragonal
Total DFT energy (no corrections) (eV per atom): -4.325
SG: P4/mmm


# 6
Crystalline YBeSbTe2 at its relaxed geometry. Source: Alexandria via LeMat-Bulk, functional PBE-GGA.

a = 5.8027 Å, b = 5.8027 Å, c = 5.9001 Å
α = 90.00°, β = 90.00°, γ = 90.00°
Element x y z (fractional)
1 Be 0.5000 0.5000 0.5000
2 Sb 0.0000 0.0000 0.5000
3 Te 0.0000 0.5000 0.0000
4 Te 0.5000 0.0000 0.0000
5 Y 0.0000 0.0000 0.0000

Offset from the most stable computed form (meV per atom): 694
Formation energy without anion corrections (eV/atom): 0.594
Crystal system: tetragonal
Total DFT energy (no corrections) (eV per atom): -3.525
SG: P4/mmm